(1)
A plane-wave DFT calculation with GGA-PBE was carried out for ZrTlBr2 after structural relaxation.

Unit cell a=9.291 b=9.291 c=7.276 alpha=50.33 beta=50.33 gamma=90.00
Last column: magnetic moment on the atom in μB.
Fractional coordinates of all 8 atoms:
Tl (0.000, 0.000, 0.000)  0.05
Tl (0.750, 0.250, 0.500)  0.05
Br (0.502, 0.125, 0.250)  0.00
Br (0.248, 0.625, 0.250)  0.00
Br (0.375, 0.498, 0.750)  0.00
Br (0.875, 0.752, 0.750)  0.00
Zr (0.500, 0.500, 0.000)  0.88
Zr (0.250, 0.750, 0.500)  0.88

Values from the calculation:
calculated density = 5.60 Mg/m³
magnetization = 1.6 μB per formula unit
E above lowest polymorph = 357 meV/atom
DOS at the Fermi energy = 9.1 states/eV/cell
energy relative to the elements, uncorrected = -446.5 meV per atom

---

(2)
A plane-wave DFT calculation with GGA-PBE was carried out for ZrTlBr2 after structural relaxation.

Unit cell a=4.678 b=3.611 c=6.450 alpha=80.87 beta=90.00 gamma=90.00
Last column: magnetic moment on the atom in μB.
Fractional coordinates of all 4 atoms:
Tl (0.500, 0.250, 0.250)  0.01
Br (0.000, 0.878, 0.974)  0.00
Br (0.000, 0.622, 0.526)  0.00
Zr (0.500, 0.750, 0.750)  0.30

Values from the calculation:
calculated density = 7.03 Mg/m³
magnetization = 0.5 μB per formula unit
E above lowest polymorph = 375 meV/atom
DOS at the Fermi energy = 3.2 states/eV/cell
energy relative to the elements, uncorrected = -429.2 meV per atom

---

(3)
A plane-wave DFT calculation with GGA-PBE was carried out for Zr2TlBr after structural relaxation.

Unit cell a=3.348 b=5.664 c=5.046 alpha=90.00 beta=90.00 gamma=90.00
Fractional coordinates of all 4 atoms:
Tl (0.000, 0.500, 0.500)
Br (0.500, 0.000, 0.500)
Zr (0.000, 0.000, 0.000)
Zr (0.500, 0.500, 0.000)

Values from the calculation:
calculated density = 8.10 Mg/m³
magnetization = 0.0 μB per formula unit
E above lowest polymorph = 264 meV/atom
DOS at the Fermi energy = 3.9 states/eV/cell
energy relative to the elements, uncorrected = 6.9 meV per atom